1:
Below is YIrPb2 at its PBEsol-relaxed geometry, with properties calculated at the SCAN level.

Cell and atoms, written as POSCAR:
```
YIrPb2
1.0
0.000 3.552 3.552
3.552 0.000 3.552
3.552 3.552 0.000
Y Ir Pb
1 1 2
Cartesian
0.000 0.000 0.000 Y
1.776 1.776 1.776 Ir
3.552 3.552 3.552 Pb
5.327 5.327 5.327 Pb
```

total moment = 0.00 μB per cell
ρ = 12.890 g cm⁻³

***

2:
Below is YIrPb2 at its PBEsol-relaxed geometry, with properties calculated at the SCAN level.

Cell and atoms, written as POSCAR:
```
YIrPb2
1.0
3.450 0.000 0.000
0.000 3.450 0.000
0.000 0.000 7.382
Y Ir Pb
1 1 2
Cartesian
0.000 0.000 0.000 Y
0.000 0.000 3.691 Ir
1.725 1.725 2.109 Pb
1.725 1.725 5.273 Pb
```

total moment = 0.00 μB per cell
ρ = 13.141 g cm⁻³

***

1 has the most favorable energy; the next structure is 13.6 kJ/mol of atoms above.

***

1:
Below is YIrPb2 at its PBEsol-relaxed geometry, with properties calculated at the SCAN level.

Cell and atoms, written as POSCAR:
```
YIrPb2
1.0
-1.911 2.440 4.923
1.911 -2.440 4.923
1.911 2.440 -4.923
Y Ir Pb
1 1 2
Cartesian
0.000 0.000 0.000 Y
1.911 0.000 2.092 Ir
0.000 0.000 4.273 Pb
0.000 2.440 2.126 Pb
```

total moment = 0.00 μB per cell
ρ = 12.580 g cm⁻³

***

2:
Below is YIrPb2 at its PBEsol-relaxed geometry, with properties calculated at the SCAN level.

Cell and atoms, written as POSCAR:
```
YIrPb2
1.0
2.287 1.320 5.007
-2.287 1.320 5.007
0.000 -2.641 5.007
Y Ir Pb
1 1 2
Cartesian
0.000 0.000 0.000 Y
0.000 0.000 7.511 Ir
0.000 0.000 3.482 Pb
0.000 0.000 11.539 Pb
```

total moment = 0.00 μB per cell
ρ = 12.730 g cm⁻³

***

2 has the most favorable energy; the next structure is 9.3 kJ/mol of atoms above.

***

1:
Below is Ir2Pt at its PBEsol-relaxed geometry, with properties calculated at the SCAN level.

Cell and atoms, written as POSCAR:
```
Ir2Pt
1.0
2.732 0.000 0.000
-1.366 2.366 0.000
0.000 0.000 6.666
Ir Pt
2 1
Cartesian
0.000 1.577 1.072 Ir
1.366 0.789 5.594 Ir
0.000 0.000 3.333 Pt
```

total moment = 0.00 μB per cell
ρ = 22.330 g cm⁻³

***

2:
Below is Ir2Pt at its PBEsol-relaxed geometry, with properties calculated at the SCAN level.

Cell and atoms, written as POSCAR:
```
Ir2Pt
1.0
4.378 0.000 0.000
-2.189 3.792 0.000
0.000 0.000 2.674
Ir Pt
2 1
Cartesian
0.000 2.528 0.692 Ir
2.189 1.264 1.982 Ir
0.000 0.000 1.337 Pt
```

total moment = 0.00 μB per cell
ρ = 21.680 g cm⁻³

***

1 has the most favorable energy; the next structure is 35.5 kJ/mol of atoms above.